[1]
Material: TaP3Pb
Method: DFT, GGA-PBE
State: relaxed

POSCAR file:
```
TaP3Pb
1.0
4.959 0.000 0.000
0.000 4.959 0.000
0.000 0.000 4.959
Ta P Pb
1 3 1
Cartesian
2.480 2.480 2.480
2.480 0.000 0.000
0.000 2.480 0.000
0.000 0.000 2.480
0.000 0.000 0.000
```

Calculated values
The value obtained for the volume is 24.40 Å³/atom. Its symmetry is Pm-3m, No. 221. For the offset from the most stable computed form, the calculation gives 1779 meV/atom. The calculation puts the formation energy at 1.96 eV per atom.

[2]
Material: LaNd3
Method: DFT, GGA-PBE
State: relaxed

POSCAR file:
```
LaNd3
1.0
-1.936 -2.856 1.332
3.524 -0.598 3.842
-3.861 4.611 4.259
Nd La
3 1
Cartesian
-0.008 0.009 0.009
-0.171 -0.574 3.652
-3.859 -0.559 3.453
-2.102 1.732 5.781
```

Calculated values
The value obtained for the volume is 35.75 Å³/atom. Its symmetry is Pmmm, No. 47. For the offset from the most stable computed form, the calculation gives 1 meV/atom. The calculation puts the formation energy at 0.01 eV per atom.

[3]
Material: Ba3Li2TaS6
Method: DFT, GGA-PBE
State: relaxed

POSCAR file:
```
Ba3Li2TaS6
1.0
7.102 0.000 0.000
-3.551 6.150 0.000
0.000 0.000 7.769
Li S Ba Ta
2 6 3 1
Cartesian
0.000 4.100 1.497
3.551 2.050 6.272
-1.817 5.149 2.419
1.733 1.001 5.350
3.551 4.148 5.350
0.000 2.002 2.419
1.817 5.149 2.419
5.368 1.001 5.350
0.000 0.000 0.000
0.000 4.100 4.831
3.551 2.050 2.938
0.000 0.000 3.885
```

Calculated values
The value obtained for the volume is 28.28 Å³/atom. Its symmetry is P-3m1, No. 164. As for the energy relative to the elements, uncorrected: -141 kJ per mole of atoms.

[4]
Material: KCu2O3
Method: DFT, GGA-PBE
State: relaxed

POSCAR file:
```
KCu2O3
1.0
-2.349 2.309 4.805
-5.409 -1.465 1.591
-0.419 -4.221 5.354
Cu O K
4 6 2
Cartesian
-3.879 0.422 3.198
0.000 0.000 0.000
-2.705 -0.733 0.795
-1.175 1.154 2.403
-6.061 -0.057 5.837
-3.254 -2.202 8.240
-4.736 -4.029 6.683
-2.117 -3.320 5.913
-4.923 -1.175 3.510
-3.441 0.652 5.067
-6.630 -1.500 8.073
-1.547 -1.877 3.677
```

Calculated values
The value obtained for the volume is 14.56 Å³/atom. Its symmetry is R-3m, No. 166. As for the energy relative to the elements, uncorrected: -70 kJ per mole of atoms.

[5]
Material: Hf5Sb6
Method: DFT, GGA-PBE
State: relaxed

POSCAR file:
```
Hf5Sb6
1.0
7.051 0.000 -0.037
3.526 6.068 -0.019
2.383 0.000 6.602
Sb Hf
6 5
Cartesian
7.209 0.000 4.934
5.973 1.892 1.516
3.461 1.892 5.049
9.499 4.176 1.497
2.225 0.000 1.631
6.986 4.176 5.030
8.242 2.152 3.264
4.717 3.916 3.282
7.051 4.091 -0.037
4.717 0.000 3.282
3.526 1.977 -0.019
```

Calculated values
The value obtained for the volume is 25.73 Å³/atom. Its symmetry is C2/m, No. 12. As for the energy relative to the elements, uncorrected: -38 kJ per mole of atoms.

[6]
Material: CsNdScS3
Method: DFT, GGA-PBE
State: relaxed

POSCAR file:
```
CsNdScS3
1.0
-3.751 -0.219 2.230
-1.863 -8.357 -3.955
5.267 -1.377 8.723
Sc S Nd Cs
2 6 2 2
Cartesian
-2.446 -8.316 1.487
2.100 -1.638 5.511
-0.111 -7.491 1.217
-2.897 -4.311 1.124
3.332 -2.301 7.518
2.550 -5.643 5.874
-3.678 -7.653 -0.519
-0.236 -2.463 5.781
-1.451 -5.772 -0.869
1.105 -4.182 7.867
-0.195 -7.821 5.322
-0.151 -2.133 1.676
```

Calculated values
The value obtained for the volume is 33.23 Å³/atom. Its symmetry is P2_1/m, No. 11. As for the energy relative to the elements, uncorrected: -164 kJ per mole of atoms.